(1)
This record from Alexandria via LeMat-Bulk describes crystalline La5DyZn6 at its relaxed geometry. The functional is PBE.

Results
space group: P2/m, No. 10
energy relative to the elements: -0.3115 eV per atom
crystal system: monoclinic
raw total energy: -3.385 eV/atom

Unit cell a=5.260 b=7.462 c=8.346 alpha=90.00 beta=108.21 gamma=90.00
Sites, in units of the cell vectors:
La (0.000, 0.000, 0.000)
La (0.330, 0.000, 0.659)
La (0.334, 0.500, 0.668)
La (0.666, 0.500, 0.332)
La (0.670, 0.000, 0.341)
Dy (0.000, 0.500, 0.000)
Zn (0.160, 0.258, 0.322)
Zn (0.160, 0.742, 0.322)
Zn (0.500, 0.261, 0.000)
Zn (0.500, 0.739, 0.000)
Zn (0.840, 0.258, 0.678)
Zn (0.840, 0.742, 0.678)

=====

(2)
This record from Alexandria via LeMat-Bulk describes crystalline La3DyZn2 at its relaxed geometry. The functional is PBE.

Results
space group: Pmc2_1, No. 26
energy relative to the elements: -0.2074 eV per atom
crystal system: orthorhombic
raw total energy: -3.863 eV/atom

Unit cell a=5.307 b=9.545 c=6.809 alpha=90.00 beta=90.00 gamma=90.00
Sites, in units of the cell vectors:
La (0.000, 0.058, 0.000)
La (0.000, 0.333, 0.312)
La (0.000, 0.667, 0.812)
La (0.000, 0.942, 0.500)
La (0.500, 0.175, 0.675)
La (0.500, 0.825, 0.175)
Dy (0.500, 0.446, 0.008)
Dy (0.500, 0.554, 0.508)
Zn (0.000, 0.350, 0.784)
Zn (0.000, 0.650, 0.284)
Zn (0.500, 0.159, 0.214)
Zn (0.500, 0.841, 0.714)

=====

(3)
This record from Alexandria via LeMat-Bulk describes crystalline LaDy6Zn2 at its relaxed geometry. The functional is PBE.

Results
space group: C2/m, No. 12
energy relative to the elements: -0.1396 eV per atom
crystal system: monoclinic
raw total energy: -4.038 eV/atom

Unit cell a=6.527 b=6.527 c=11.817 alpha=107.82 beta=107.82 gamma=32.42
Sites, in units of the cell vectors:
La (0.000, 0.000, 0.000)
Dy (0.022, 0.022, 0.333)
Dy (0.309, 0.309, 0.127)
Dy (0.314, 0.314, 0.414)
Dy (0.686, 0.686, 0.586)
Dy (0.691, 0.691, 0.873)
Dy (0.978, 0.978, 0.667)
Zn (0.345, 0.345, 0.783)
Zn (0.655, 0.655, 0.217)

=====

(4)
This record from Alexandria via LeMat-Bulk describes crystalline La3Dy4Zn at its relaxed geometry. The functional is PBE.

Results
space group: P4/mmm, No. 123
energy relative to the elements: -0.0631 eV per atom
crystal system: tetragonal
raw total energy: -4.371 eV/atom

Unit cell a=3.625 b=3.625 c=19.107 alpha=90.00 beta=90.00 gamma=90.00
Sites, in units of the cell vectors:
La (0.000, 0.000, 0.000)
La (0.000, 0.000, 0.271)
La (0.000, 0.000, 0.729)
Dy (0.500, 0.500, 0.135)
Dy (0.500, 0.500, 0.409)
Dy (0.500, 0.500, 0.591)
Dy (0.500, 0.500, 0.865)
Zn (0.000, 0.000, 0.500)